Crystalline La4TbDy5 at its relaxed geometry, computed with PBE. Values from VASP.

```
&SYSTEM
  ibrav = 0, nat = 10, ntyp = 3
/
ATOMIC_SPECIES
La 138.91 La.upf
Tb 158.93 Tb.upf
Dy 162.50 Dy.upf
CELL_PARAMETERS angstrom
8.614 -1.776 0.000
8.614 1.776 0.000
-0.026 0.000 11.480
ATOMIC_POSITIONS crystal
La 0.033 0.033 0.250
La 0.338 0.338 0.250
La 0.662 0.662 0.750
La 0.967 0.967 0.750
Tb 0.500 0.500 0.500
Dy 0.173 0.173 0.049
Dy 0.173 0.173 0.451
Dy 0.500 0.500 0.000
Dy 0.827 0.827 0.549
Dy 0.827 0.827 0.951
```

As for the symmetry: C2/m. Its formation energy is 1.91 eV/f.u. The calculation puts the energy above the most stable polymorph in this dataset at 0.48 kJ per mole of atoms.


Crystalline LaTbDy4 at its relaxed geometry, computed with PBE. Values from VASP.

```
&SYSTEM
  ibrav = 0, nat = 6, ntyp = 3
/
ATOMIC_SPECIES
La 138.91 La.upf
Tb 158.93 Tb.upf
Dy 162.50 Dy.upf
CELL_PARAMETERS angstrom
5.804 -1.710 0.000
5.804 1.710 0.000
-5.735 0.000 10.102
ATOMIC_POSITIONS crystal
La 0.000 0.000 0.000
Tb 0.500 0.500 0.500
Dy 0.157 0.157 0.347
Dy 0.346 0.346 0.159
Dy 0.654 0.654 0.841
Dy 0.843 0.843 0.653
```

As for the symmetry: C2/m. Its formation energy is 1.23 eV/f.u. The calculation puts the energy above the most stable polymorph in this dataset at 6.14 kJ per mole of atoms.


Crystalline La6Tb2Dy3 at its relaxed geometry, computed with PBE. Values from VASP.

```
&SYSTEM
  ibrav = 0, nat = 11, ntyp = 3
/
ATOMIC_SPECIES
La 138.91 La.upf
Tb 158.93 Tb.upf
Dy 162.50 Dy.upf
CELL_PARAMETERS angstrom
1.833 1.058 32.501
-1.833 1.058 32.501
0.000 -2.117 32.501
ATOMIC_POSITIONS crystal
La 0.090 0.090 0.090
La 0.183 0.183 0.183
La 0.363 0.363 0.363
La 0.637 0.637 0.637
La 0.817 0.817 0.817
La 0.910 0.910 0.910
Tb 0.454 0.454 0.454
Tb 0.546 0.546 0.546
Dy 0.000 0.000 0.000
Dy 0.273 0.273 0.273
Dy 0.727 0.727 0.727
```

As for the symmetry: R-3m. Its formation energy is 0.15 eV/f.u.


Crystalline La2Tb4Dy7 at its relaxed geometry, computed with PBE. Values from VASP.

```
&SYSTEM
  ibrav = 0, nat = 13, ntyp = 3
/
ATOMIC_SPECIES
La 138.91 La.upf
Tb 158.93 Tb.upf
Dy 162.50 Dy.upf
CELL_PARAMETERS angstrom
6.100 0.000 0.000
-3.050 5.282 0.000
0.000 0.000 13.378
ATOMIC_POSITIONS crystal
La 0.333 0.667 0.000
La 0.667 0.333 0.000
Tb 0.000 0.000 0.395
Tb 0.000 0.000 0.605
Tb 0.333 0.667 0.500
Tb 0.667 0.333 0.500
Dy 0.000 0.000 0.000
Dy 0.000 0.355 0.783
Dy 0.000 0.645 0.217
Dy 0.355 0.000 0.783
Dy 0.355 0.355 0.217
Dy 0.645 0.000 0.217
Dy 0.645 0.645 0.783
```

As for the symmetry: P-31m. Its formation energy is 2.36 eV/f.u.


Crystalline La7Tb2Dy2 at its relaxed geometry, computed with PBE. Values from VASP.

```
&SYSTEM
  ibrav = 0, nat = 11, ntyp = 3
/
ATOMIC_SPECIES
La 138.91 La.upf
Tb 158.93 Tb.upf
Dy 162.50 Dy.upf
CELL_PARAMETERS angstrom
5.758 -5.826 0.000
5.758 5.826 0.000
-2.278 0.000 5.791
ATOMIC_POSITIONS crystal
La 0.000 0.000 0.000
La 0.049 0.583 0.818
La 0.417 0.951 0.182
La 0.425 0.425 0.197
La 0.575 0.575 0.803
La 0.583 0.049 0.818
La 0.951 0.417 0.182
Tb 0.211 0.789 0.500
Tb 0.789 0.211 0.500
Dy 0.227 0.227 0.588
Dy 0.773 0.773 0.412
```

As for the symmetry: C2/m. Its formation energy is 1.31 eV/f.u. The calculation puts the energy above the most stable polymorph in this dataset at 0.00 kJ per mole of atoms.


Crystalline La7Tb12Dy at its relaxed geometry, computed with PBE. Values from VASP.

```
&SYSTEM
  ibrav = 0, nat = 20, ntyp = 3
/
ATOMIC_SPECIES
La 138.91 La.upf
Tb 158.93 Tb.upf
Dy 162.50 Dy.upf
CELL_PARAMETERS angstrom
6.067 3.503 5.445
-6.067 3.503 5.445
0.000 -7.005 5.445
ATOMIC_POSITIONS crystal
La 0.000 0.000 0.000
La 0.104 0.339 0.415
La 0.339 0.415 0.104
La 0.415 0.104 0.339
La 0.585 0.896 0.661
La 0.661 0.585 0.896
La 0.896 0.661 0.585
Tb 0.002 0.365 0.883
Tb 0.117 0.998 0.635
Tb 0.227 0.751 0.356
Tb 0.249 0.644 0.773
Tb 0.356 0.227 0.751
Tb 0.365 0.883 0.002
Tb 0.635 0.117 0.998
Tb 0.644 0.773 0.249
Tb 0.751 0.356 0.227
Tb 0.773 0.249 0.644
Tb 0.883 0.002 0.365
Tb 0.998 0.635 0.117
Dy 0.500 0.500 0.500
```

As for the symmetry: R-3. Its formation energy is 4.37 eV/f.u. The calculation puts the energy above the most stable polymorph in this dataset at 0.00 kJ per mole of atoms.


Crystalline LaTbDy6 at its relaxed geometry, computed with PBE. Values from VASP.

```
&SYSTEM
  ibrav = 0, nat = 8, ntyp = 3
/
ATOMIC_SPECIES
La 138.91 La.upf
Tb 158.93 Tb.upf
Dy 162.50 Dy.upf
CELL_PARAMETERS angstrom
5.053 0.000 0.000
0.000 5.053 0.000
0.000 0.000 10.106
ATOMIC_POSITIONS crystal
La 0.000 0.000 0.000
Tb 0.000 0.000 0.500
Dy 0.000 0.500 0.254
Dy 0.000 0.500 0.746
Dy 0.500 0.000 0.254
Dy 0.500 0.000 0.746
Dy 0.500 0.500 0.000
Dy 0.500 0.500 0.500
```

As for the symmetry: P4/mmm. Its formation energy is 0.21 eV/f.u. The calculation puts the energy above the most stable polymorph in this dataset at 0.00 kJ per mole of atoms.


Crystalline La4Tb5Dy3 at its relaxed geometry, computed with PBE. Values from VASP.

```
&SYSTEM
  ibrav = 0, nat = 12, ntyp = 3
/
ATOMIC_SPECIES
La 138.91 La.upf
Tb 158.93 Tb.upf
Dy 162.50 Dy.upf
CELL_PARAMETERS angstrom
8.176 -3.003 0.000
8.176 3.003 0.000
-4.357 0.000 8.430
ATOMIC_POSITIONS crystal
La 0.085 0.085 0.444
La 0.216 0.216 0.879
La 0.784 0.784 0.121
La 0.915 0.915 0.556
Tb 0.000 0.000 0.000
Tb 0.330 0.330 0.615
Tb 0.429 0.429 0.296
Tb 0.571 0.571 0.704
Tb 0.670 0.670 0.385
Dy 0.212 0.212 0.233
Dy 0.500 0.500 0.000
Dy 0.788 0.788 0.767
```

As for the symmetry: C2/m. Its formation energy is 2.63 eV/f.u.


Crystalline La15TbDy4 at its relaxed geometry, computed with PBE. Values from VASP.

```
&SYSTEM
  ibrav = 0, nat = 20, ntyp = 3
/
ATOMIC_SPECIES
La 138.91 La.upf
Tb 158.93 Tb.upf
Dy 162.50 Dy.upf
CELL_PARAMETERS angstrom
5.209 0.000 0.000
0.000 5.209 0.000
0.000 0.000 26.056
ATOMIC_POSITIONS crystal
La 0.000 0.000 0.000
La 0.000 0.000 0.200
La 0.000 0.000 0.400
La 0.000 0.000 0.600
La 0.000 0.000 0.800
La 0.000 0.500 0.100
La 0.000 0.500 0.300
La 0.000 0.500 0.500
La 0.000 0.500 0.700
La 0.000 0.500 0.900
La 0.500 0.000 0.100
La 0.500 0.000 0.300
La 0.500 0.000 0.500
La 0.500 0.000 0.700
La 0.500 0.000 0.900
Tb 0.500 0.500 0.000
Dy 0.500 0.500 0.200
Dy 0.500 0.500 0.400
Dy 0.500 0.500 0.600
Dy 0.500 0.500 0.800
```

As for the symmetry: P4/mmm. Its formation energy is 0.17 eV/f.u.


Crystalline LaTb2Dy at its relaxed geometry, computed with PBE. Values from VASP.

```
&SYSTEM
  ibrav = 0, nat = 8, ntyp = 3
/
ATOMIC_SPECIES
La 138.91 La.upf
Tb 158.93 Tb.upf
Dy 162.50 Dy.upf
CELL_PARAMETERS angstrom
3.651 -6.323 0.000
3.651 6.323 0.000
0.000 0.000 5.780
ATOMIC_POSITIONS crystal
La 0.084 0.916 0.750
La 0.916 0.084 0.250
Tb 0.082 0.417 0.750
Tb 0.417 0.082 0.250
Tb 0.583 0.918 0.750
Tb 0.918 0.583 0.250
Dy 0.416 0.584 0.250
Dy 0.584 0.416 0.750
```

As for the symmetry: Cmcm. Its formation energy is 0.09 eV/f.u. The calculation puts the energy above the most stable polymorph in this dataset at 1.36 kJ per mole of atoms.


Crystalline La2Tb2Dy3 at its relaxed geometry, computed with PBE. Values from VASP.

```
&SYSTEM
  ibrav = 0, nat = 7, ntyp = 3
/
ATOMIC_SPECIES
La 138.91 La.upf
Tb 158.93 Tb.upf
Dy 162.50 Dy.upf
CELL_PARAMETERS angstrom
3.618 0.000 0.000
-1.800 5.943 0.000
-0.006 -1.048 10.784
ATOMIC_POSITIONS crystal
La 0.214 0.428 0.355
La 0.786 0.572 0.645
Tb 0.071 0.141 0.790
Tb 0.929 0.859 0.210
Dy 0.357 0.715 0.931
Dy 0.500 0.000 0.500
Dy 0.643 0.285 0.069
```

As for the symmetry: P-1. Its formation energy is 0.15 eV/f.u. The calculation puts the energy above the most stable polymorph in this dataset at 0.00 kJ per mole of atoms.


Crystalline LaTb4Dy3 at its relaxed geometry, computed with PBE. Values from VASP.

```
&SYSTEM
  ibrav = 0, nat = 8, ntyp = 3
/
ATOMIC_SPECIES
La 138.91 La.upf
Tb 158.93 Tb.upf
Dy 162.50 Dy.upf
CELL_PARAMETERS angstrom
-1.725 3.369 11.342
1.725 -3.369 11.342
1.725 3.369 -11.342
ATOMIC_POSITIONS crystal
La 0.000 0.000 0.000
Tb 0.131 0.874 0.258
Tb 0.384 0.126 0.258
Tb 0.616 0.874 0.742
Tb 0.869 0.126 0.742
Dy 0.260 0.260 0.000
Dy 0.500 0.500 0.000
Dy 0.740 0.740 0.000
```

As for the symmetry: Immm. Its formation energy is 1.32 eV/f.u. The calculation puts the energy above the most stable polymorph in this dataset at 13.97 kJ per mole of atoms.


Fermi-level density of states values, unit states/eV per cell, following the record order: 15.038 14.393 15.065 19.432 17.300 37.618 12.088 20.922 27.551 13.069 9.873 15.061.